Model a:
The following is a PBE calculation of a relaxed Mg3MnS crystal, from the Alexandria database.

Crystal system = cubic

Structure (CIF):
```
data_Mg3MnS
_chemical_formula_sum 'Mg3 Mn1 S1'
_cell_length_a 5.079
_cell_length_b 5.079
_cell_length_c 5.079
_cell_angle_alpha 90.00
_cell_angle_beta 90.00
_cell_angle_gamma 90.00
_space_group_name_H-M_alt 'P m -3 m'
_space_group_IT_number 221
_space_group_name_Hall '-P 4 2 3'
loop_
_atom_site_label
_atom_site_type_symbol
_atom_site_fract_x
_atom_site_fract_y
_atom_site_fract_z
Mg1 Mg 0.000 0.000 0.500
Mn1 Mn 0.000 0.000 0.000
S1 S 0.500 0.500 0.500
```

Model b:
The following is a PBE calculation of a relaxed Mg3MnS crystal, from the Alexandria database.

Crystal system = cubic

Structure (CIF):
```
data_Mg3MnS
_chemical_formula_sum 'Mg3 Mn1 S1'
_cell_length_a 4.836
_cell_length_b 4.836
_cell_length_c 4.836
_cell_angle_alpha 90.00
_cell_angle_beta 90.00
_cell_angle_gamma 90.00
_space_group_name_H-M_alt 'P m -3 m'
_space_group_IT_number 221
_space_group_name_Hall '-P 4 2 3'
loop_
_atom_site_label
_atom_site_type_symbol
_atom_site_fract_x
_atom_site_fract_y
_atom_site_fract_z
Mg1 Mg 0.000 0.000 0.500
Mn1 Mn 0.500 0.500 0.500
S1 S 0.000 0.000 0.000
```

Most stable pick: model b. Distance to second place: 51.2 kJ/mol of atoms.

Model a:
The following is a PBE calculation of a relaxed MgMn4S8 crystal, from the Alexandria database.

Crystal system = trigonal

Structure (CIF):
```
data_MgMn4S8
_chemical_formula_sum 'Mg3 Mn12 S24'
_cell_length_a 6.9235
_cell_length_b 6.9235
_cell_length_c 17.5981
_cell_angle_alpha 90.00
_cell_angle_beta 90.00
_cell_angle_gamma 120.00
_space_group_name_H-M_alt 'R -3 m'
_space_group_IT_number 166
_space_group_name_Hall '-R 3 2"'
loop_
_atom_site_label
_atom_site_type_symbol
_atom_site_fract_x
_atom_site_fract_y
_atom_site_fract_z
Mg1 Mg 0.0000 0.0000 0.0000
Mn1 Mn 0.0000 0.0000 0.5000
Mn2 Mn 0.0000 0.5000 0.0000
S1 S 0.0000 0.0000 0.2617
S2 S 0.0203 0.5102 0.2564
```

Model b:
The following is a PBE calculation of a relaxed MgMn4S8 crystal, from the Alexandria database.

Crystal system = trigonal

Structure (CIF):
```
data_MgMn4S8
_chemical_formula_sum 'Mg3 Mn12 S24'
_cell_length_a 6.7394
_cell_length_b 6.7394
_cell_length_c 18.5866
_cell_angle_alpha 90.00
_cell_angle_beta 90.00
_cell_angle_gamma 120.00
_space_group_name_H-M_alt 'R -3 m'
_space_group_IT_number 166
_space_group_name_Hall '-R 3 2"'
loop_
_atom_site_label
_atom_site_type_symbol
_atom_site_fract_x
_atom_site_fract_y
_atom_site_fract_z
Mg1 Mg 0.0000 0.0000 0.0000
Mn1 Mn 0.0000 0.0000 0.5000
Mn2 Mn 0.0000 0.5000 0.5000
S1 S 0.0000 0.0000 0.2369
S2 S 0.0070 0.5035 0.7615
```

Most stable pick: model b. Distance to second place: 1.7 kJ/mol of atoms.

Model a:
The following is a PBE calculation of a relaxed MgMnS3 crystal, from the Alexandria database.

Crystal system = cubic

Structure (CIF):
```
data_MgMnS3
_chemical_formula_sum 'Mg1 Mn1 S3'
_cell_length_a 4.726
_cell_length_b 4.726
_cell_length_c 4.726
_cell_angle_alpha 90.00
_cell_angle_beta 90.00
_cell_angle_gamma 90.00
_space_group_name_H-M_alt 'P m -3 m'
_space_group_IT_number 221
_space_group_name_Hall '-P 4 2 3'
loop_
_atom_site_label
_atom_site_type_symbol
_atom_site_fract_x
_atom_site_fract_y
_atom_site_fract_z
Mg1 Mg 0.000 0.000 0.000
Mn1 Mn 0.500 0.500 0.500
S1 S 0.000 0.000 0.500
```

Model b:
The following is a PBE calculation of a relaxed MgMnS3 crystal, from the Alexandria database.

Crystal system = cubic

Structure (CIF):
```
data_MgMnS3
_chemical_formula_sum 'Mg1 Mn1 S3'
_cell_length_a 4.575
_cell_length_b 4.575
_cell_length_c 4.575
_cell_angle_alpha 90.00
_cell_angle_beta 90.00
_cell_angle_gamma 90.00
_space_group_name_H-M_alt 'P m -3 m'
_space_group_IT_number 221
_space_group_name_Hall '-P 4 2 3'
loop_
_atom_site_label
_atom_site_type_symbol
_atom_site_fract_x
_atom_site_fract_y
_atom_site_fract_z
Mg1 Mg 0.000 0.000 0.000
Mn1 Mn 0.500 0.500 0.500
S1 S 0.000 0.500 0.500
```

Most stable pick: model b. Distance to second place: 47.5 kJ/mol of atoms.

Model a:
The following is a PBE calculation of a relaxed MgMnSb2Te crystal, from the Alexandria database.

Crystal system = tetragonal

Structure (CIF):
```
data_MgMnSb2Te
_chemical_formula_sum 'Mg1 Mn1 Sb2 Te1'
_cell_length_a 5.288
_cell_length_b 5.288
_cell_length_c 5.383
_cell_angle_alpha 90.00
_cell_angle_beta 90.00
_cell_angle_gamma 90.00
_space_group_name_H-M_alt 'P 4/m m m'
_space_group_IT_number 123
_space_group_name_Hall '-P 4 2'
loop_
_atom_site_label
_atom_site_type_symbol
_atom_site_fract_x
_atom_site_fract_y
_atom_site_fract_z
Mg1 Mg 0.000 0.000 0.000
Mn1 Mn 0.500 0.500 0.500
Sb1 Sb 0.000 0.500 0.000
Te1 Te 0.000 0.000 0.500
```

Model b:
The following is a PBE calculation of a relaxed MgMnSb2Te crystal, from the Alexandria database.

Crystal system = tetragonal

Structure (CIF):
```
data_MgMnSb2Te
_chemical_formula_sum 'Mg1 Mn1 Sb2 Te1'
_cell_length_a 5.030
_cell_length_b 5.030
_cell_length_c 5.468
_cell_angle_alpha 90.00
_cell_angle_beta 90.00
_cell_angle_gamma 90.00
_space_group_name_H-M_alt 'P 4/m m m'
_space_group_IT_number 123
_space_group_name_Hall '-P 4 2'
loop_
_atom_site_label
_atom_site_type_symbol
_atom_site_fract_x
_atom_site_fract_y
_atom_site_fract_z
Mg1 Mg 0.000 0.000 0.000
Mn1 Mn 0.500 0.500 0.500
Sb1 Sb 0.000 0.500 0.500
Te1 Te 0.500 0.500 0.000
```

Most stable pick: model b. Distance to second place: 96.3 kJ/mol of atoms.

Model a:
The following is a PBE calculation of a relaxed MgMnSe crystal, from the Alexandria database.

Crystal system = cubic

Structure (CIF):
```
data_MgMnSe
_chemical_formula_sum 'Mg4 Mn4 Se4'
_cell_length_a 6.185
_cell_length_b 6.185
_cell_length_c 6.185
_cell_angle_alpha 90.00
_cell_angle_beta 90.00
_cell_angle_gamma 90.00
_space_group_name_H-M_alt 'F -4 3 m'
_space_group_IT_number 216
_space_group_name_Hall 'F -4 2 3'
loop_
_atom_site_label
_atom_site_type_symbol
_atom_site_fract_x
_atom_site_fract_y
_atom_site_fract_z
Mg1 Mg 0.000 0.000 0.000
Mn1 Mn 0.250 0.250 0.250
Se1 Se 0.000 0.000 0.500
```

Model b:
The following is a PBE calculation of a relaxed MgMnSe crystal, from the Alexandria database.

Crystal system = trigonal

Structure (CIF):
```
data_MgMnSe
_chemical_formula_sum 'Mg1 Mn1 Se1'
_cell_length_a 3.7223
_cell_length_b 3.7223
_cell_length_c 5.4913
_cell_angle_alpha 90.00
_cell_angle_beta 90.00
_cell_angle_gamma 120.00
_space_group_name_H-M_alt 'P 3 m 1'
_space_group_IT_number 156
loop_
_space_group_symop_operation_xyz
'x,y,z'
'-y,x-y,z'
'-x+y,-x,z'
'-y,-x,z'
'-x+y,y,z'
'x,x-y,z'
loop_
_atom_site_label
_atom_site_type_symbol
_atom_site_fract_x
_atom_site_fract_y
_atom_site_fract_z
Mg1 Mg 0.0000 0.0000 0.0000
Mn1 Mn 0.6667 0.3333 0.4081
Se1 Se 0.3333 0.6667 0.6824
```

Most stable pick: model b. Distance to second place: 21.8 kJ/mol of atoms.

Model a:
The following is a PBE calculation of a relaxed MgMnSe crystal, from the Alexandria database.

Crystal system = hexagonal

Structure (CIF):
```
data_MgMnSe
_chemical_formula_sum 'Mg1 Mn1 Se1'
_cell_length_a 4.1690
_cell_length_b 4.1690
_cell_length_c 3.7794
_cell_angle_alpha 90.00
_cell_angle_beta 90.00
_cell_angle_gamma 120.00
_space_group_name_H-M_alt 'P -6 m 2'
_space_group_IT_number 187
_space_group_name_Hall 'P -6 2'
loop_
_atom_site_label
_atom_site_type_symbol
_atom_site_fract_x
_atom_site_fract_y
_atom_site_fract_z
Mg1 Mg 0.0000 0.0000 0.0000
Mn1 Mn 0.3333 0.6667 0.5000
Se1 Se 0.6667 0.3333 0.5000
```

Model b:
The following is a PBE calculation of a relaxed MgMnSe crystal, from the Alexandria database.

Crystal system = tetragonal

Structure (CIF):
```
data_MgMnSe
_chemical_formula_sum 'Mg2 Mn2 Se2'
_cell_length_a 3.067
_cell_length_b 3.067
_cell_length_c 10.408
_cell_angle_alpha 90.00
_cell_angle_beta 90.00
_cell_angle_gamma 90.00
_space_group_name_H-M_alt 'I 4 m m'
_space_group_IT_number 107
_space_group_name_Hall 'I 4 -2'
loop_
_atom_site_label
_atom_site_type_symbol
_atom_site_fract_x
_atom_site_fract_y
_atom_site_fract_z
Mg1 Mg 0.000 0.000 0.000
Mn1 Mn 0.000 0.000 0.322
Se1 Se 0.000 0.000 0.719
```

Most stable pick: model a. Distance to second place: 8.2 kJ/mol of atoms.